1.
{"formula": "RbPrNO", "functional": "PBE", "state": "relaxed", "m_tot_mub_per_cell": 0.0, "cell": [[3.893, -3.883, 0.000], [3.893, 3.883, 0.000], [-0.002, 0.000, 4.817]], "species": ["Rb", "Rb", "Pr", "Pr", "N", "N", "O", "O"], "frac_coords": [[0.000, 0.000, 0.000], [0.501, 0.501, 0.999], [0.000, 0.499, 0.500], [0.499, 0.000, 0.500], [0.500, 0.500, 0.499], [0.999, 0.999, 0.500], [0.002, 0.500, 0.001], [0.500, 0.002, 0.001]]}


2.
{"formula": "RbPrNO", "functional": "PBE", "state": "relaxed", "m_tot_mub_per_cell": 2.0, "cell": [[4.187, 0.000, 0.000], [0.000, 7.629, 0.000], [0.000, 0.000, 6.395]], "species": ["Rb", "Rb", "Pr", "Pr", "N", "N", "O", "O"], "frac_coords": [[0.000, 0.173, 0.000], [0.000, 0.827, 0.500], [0.500, 0.343, 0.526], [0.500, 0.657, 0.026], [0.000, 0.206, 0.467], [0.000, 0.794, 0.967], [0.500, 0.392, 0.874], [0.500, 0.608, 0.374]]}


3.
{"formula": "RbPrNO", "functional": "PBE", "state": "relaxed", "m_tot_mub_per_cell": 2.0, "cell": [[3.225, -3.227, 0.000], [3.225, 3.227, 0.000], [-0.022, 0.000, 9.484]], "species": ["Rb", "Rb", "Pr", "Pr", "N", "N", "O", "O"], "frac_coords": [[0.250, 0.750, 0.000], [0.750, 0.250, 0.000], [0.268, 0.268, 0.408], [0.769, 0.769, 0.592], [0.253, 0.253, 0.168], [0.753, 0.753, 0.832], [0.271, 0.771, 0.500], [0.771, 0.271, 0.500]]}


4.
{"formula": "RbPrNO", "functional": "PBE", "state": "relaxed", "m_tot_mub_per_cell": 2.0, "cell": [[4.138, 0.000, 0.000], [0.000, 4.138, 0.000], [0.000, 0.000, 9.164]], "species": ["Rb", "Rb", "Pr", "Pr", "N", "N", "O", "O"], "frac_coords": [[0.250, 0.750, 0.000], [0.750, 0.250, 0.000], [0.250, 0.250, 0.375], [0.750, 0.750, 0.625], [0.250, 0.250, 0.789], [0.750, 0.750, 0.211], [0.250, 0.750, 0.500], [0.750, 0.250, 0.500]]}


So which one is most stable? That would be 2, about 72 meV/atom below the next structure.


1.
{"formula": "RbPrNO", "functional": "PBE", "state": "relaxed", "m_tot_mub_per_cell": 2.0, "cell": [[3.881, 0.000, 0.000], [0.000, 7.765, 0.000], [0.000, 0.000, 6.713]], "species": ["Rb", "Rb", "Pr", "Pr", "N", "N", "O", "O"], "frac_coords": [[0.000, 0.155, 0.000], [0.000, 0.845, 0.500], [0.500, 0.342, 0.490], [0.500, 0.658, 0.990], [0.500, 0.387, 0.839], [0.500, 0.613, 0.339], [0.000, 0.200, 0.422], [0.000, 0.800, 0.922]]}


2.
{"formula": "RbPrNO", "functional": "PBE", "state": "relaxed", "m_tot_mub_per_cell": 4.0, "cell": [[7.791, 0.000, 0.000], [0.000, 9.223, 0.000], [0.000, 0.000, 5.332]], "species": ["Rb", "Rb", "Rb", "Rb", "Pr", "Pr", "Pr", "Pr", "N", "N", "N", "N", "O", "O", "O", "O"], "frac_coords": [[0.102, 0.111, 0.000], [0.398, 0.111, 0.500], [0.602, 0.889, 0.000], [0.898, 0.889, 0.500], [0.085, 0.620, 0.003], [0.415, 0.620, 0.503], [0.585, 0.380, 0.003], [0.915, 0.380, 0.503], [0.107, 0.588, 0.505], [0.393, 0.588, 0.005], [0.607, 0.412, 0.505], [0.893, 0.412, 0.005], [0.034, 0.171, 0.500], [0.466, 0.171, 0.000], [0.534, 0.829, 0.500], [0.966, 0.829, 0.000]]}


So which one is most stable? That would be 2, about 23 meV/atom below the next structure.


1.
{"formula": "PrSbNO", "functional": "PBE", "state": "relaxed", "m_tot_mub_per_cell": 0.0, "cell": [[5.716, 0.000, 0.000], [0.000, 8.469, 0.000], [0.000, 0.000, 6.071]], "species": ["Pr", "Pr", "Pr", "Pr", "Sb", "Sb", "Sb", "Sb", "N", "N", "N", "N", "O", "O", "O", "O"], "frac_coords": [[0.008, 0.134, 0.000], [0.492, 0.134, 0.500], [0.508, 0.866, 0.000], [0.992, 0.866, 0.500], [0.017, 0.377, 0.495], [0.483, 0.377, 0.995], [0.517, 0.623, 0.495], [0.983, 0.623, 0.995], [0.157, 0.597, 0.493], [0.343, 0.597, 0.993], [0.657, 0.403, 0.493], [0.843, 0.403, 0.993], [0.250, 0.989, 0.250], [0.250, 0.989, 0.750], [0.750, 0.011, 0.250], [0.750, 0.011, 0.750]]}


2.
{"formula": "PrSbNO", "functional": "PBE", "state": "relaxed", "m_tot_mub_per_cell": 0.0, "cell": [[4.526, 0.000, 0.000], [0.000, 4.526, 0.000], [0.000, 0.000, 7.704]], "species": ["Pr", "Pr", "Sb", "Sb", "N", "N", "O", "O"], "frac_coords": [[0.250, 0.250, 0.127], [0.750, 0.750, 0.873], [0.250, 0.750, 0.500], [0.750, 0.250, 0.500], [0.250, 0.250, 0.440], [0.750, 0.750, 0.560], [0.250, 0.750, 0.000], [0.750, 0.250, 0.000]]}


So which one is most stable? That would be 1, about 228 meV/atom below the next structure.


1.
{"formula": "PrSbNO", "functional": "PBE", "state": "relaxed", "m_tot_mub_per_cell": 0.0, "cell": [[7.042, 0.000, 0.000], [0.000, 6.907, 0.000], [0.000, 0.000, 5.772]], "species": ["Pr", "Pr", "Pr", "Pr", "Sb", "Sb", "Sb", "Sb", "N", "N", "N", "N", "O", "O", "O", "O"], "frac_coords": [[0.079, 0.187, 0.000], [0.421, 0.187, 0.500], [0.579, 0.813, 0.000], [0.921, 0.813, 0.500], [0.129, 0.690, 0.003], [0.371, 0.690, 0.503], [0.629, 0.310, 0.003], [0.871, 0.310, 0.503], [0.090, 0.121, 0.571], [0.410, 0.121, 0.071], [0.590, 0.879, 0.571], [0.910, 0.879, 0.071], [0.036, 0.481, 0.271], [0.464, 0.481, 0.771], [0.536, 0.519, 0.271], [0.964, 0.519, 0.771]]}


2.
{"formula": "PrSbNO", "functional": "PBE", "state": "relaxed", "m_tot_mub_per_cell": 0.0, "cell": [[5.035, 0.000, 0.000], [0.000, 5.035, 0.000], [0.000, 0.000, 5.214]], "species": ["Pr", "Pr", "Sb", "Sb", "N", "N", "O", "O"], "frac_coords": [[0.250, 0.750, 0.000], [0.750, 0.250, 0.000], [0.250, 0.250, 0.498], [0.750, 0.750, 0.502], [0.250, 0.250, 0.107], [0.750, 0.750, 0.893], [0.250, 0.750, 0.500], [0.750, 0.250, 0.500]]}


3.
{"formula": "PrSbNO", "functional": "PBE", "state": "relaxed", "m_tot_mub_per_cell": 0.0, "cell": [[3.400, 0.000, 0.000], [0.000, 6.754, 0.000], [0.000, 0.000, 6.415]], "species": ["Pr", "Pr", "Sb", "Sb", "N", "N", "O", "O"], "frac_coords": [[0.000, 0.067, 0.000], [0.000, 0.933, 0.500], [0.500, 0.461, 0.331], [0.500, 0.539, 0.831], [0.000, 0.277, 0.340], [0.000, 0.723, 0.840], [0.500, 0.055, 0.731], [0.500, 0.945, 0.231]]}


4.
{"formula": "PrSbNO", "functional": "PBE", "state": "relaxed", "m_tot_mub_per_cell": 0.0, "cell": [[4.005, 0.000, 0.000], [0.000, 6.478, 0.000], [0.000, 0.000, 6.476]], "species": ["Pr", "Pr", "Sb", "Sb", "N", "N", "O", "O"], "frac_coords": [[0.000, 0.202, 0.000], [0.000, 0.798, 0.500], [0.500, 0.326, 0.582], [0.500, 0.674, 0.082], [0.500, 0.404, 0.910], [0.500, 0.596, 0.410], [0.000, 0.084, 0.317], [0.000, 0.916, 0.817]]}


So which one is most stable? That would be 3, about 138 meV/atom below the next structure.